[1]
This record from Alexandria describes an optimized crystal structure of CeThSbN2. The functional is PBE.

Summary:
- Calculated volume: 22.06 Å³ per atom
- Total energy: -8.2395 eV per atom

a = 4.0091 Å, b = 4.0091 Å, c = 13.7255 Å
α = 90.00°, β = 90.00°, γ = 90.00°
Last column: nearest neighbours and their distance in Å.
Positions (direct):
Ce1 0.0000 0.0000 0.0000  4 N 2.29
Ce2 0.5000 0.5000 0.5000  4 N 2.29
Th1 0.0000 0.0000 0.3339  4 N 2.33
Th2 0.5000 0.5000 0.8339  4 N 2.33
Sb1 0.0000 0.0000 0.6657  4 Ce 3.63, 4 Th 3.66, 8 N 3.93-4.02, 4 Sb 4.01
Sb2 0.5000 0.5000 0.1657  4 Ce 3.63, 4 Th 3.66, 8 N 3.93-4.02, 4 Sb 4.01
N1 0.0000 0.5000 0.4197  2 Ce 2.29, 2 Th 2.33
N2 0.0000 0.5000 0.9197  2 Ce 2.29, 2 Th 2.33
N3 0.5000 0.0000 0.4197  2 Ce 2.29, 2 Th 2.33
N4 0.5000 0.0000 0.9197  2 Ce 2.29, 2 Th 2.33


[2]
This record from Alexandria describes an optimized crystal structure of Ce2ThSbN2. The functional is PBE.

Summary:
- Calculated volume: 23.61 Å³ per atom
- Total energy: -7.7064 eV per atom

a = 4.6032 Å, b = 4.6032 Å, c = 6.6841 Å
α = 90.00°, β = 90.00°, γ = 90.00°
Last column: nearest neighbours and their distance in Å.
Positions (direct):
Ce1 0.0000 0.0000 0.2343  4 N 2.78
Ce2 0.0000 0.0000 0.7657  4 N 2.78
Th1 0.5000 0.5000 0.0000  4 N 2.30
Sb1 0.5000 0.5000 0.5000  2 Th 3.34, 8 Ce 3.71
N1 0.0000 0.5000 0.0000  2 Th 2.30
N2 0.5000 0.0000 0.0000  2 Th 2.30


[3]
This record from Alexandria describes an optimized crystal structure of CeThSb2N. The functional is PBE.

Summary:
- Calculated volume: 28.99 Å³ per atom
- Total energy: -6.7985 eV per atom

a = 4.1165 Å, b = 4.1165 Å, c = 17.1083 Å
α = 90.00°, β = 90.00°, γ = 90.00°
Last column: nearest neighbours and their distance in Å.
Positions (direct):
Ce1 0.2500 0.2500 0.0613  4 N 2.31
Ce2 0.7500 0.7500 0.9387  4 N 2.31
Th1 0.2500 0.2500 0.6327  6 Sb 3.11-3.42
Th2 0.7500 0.7500 0.3673  6 Sb 3.11-3.42
Sb1 0.2500 0.2500 0.4326  5 Th 3.12-3.42
Sb2 0.2500 0.2500 0.8143  1 Th 3.11
Sb3 0.7500 0.7500 0.1857  1 Th 3.11
Sb4 0.7500 0.7500 0.5674  5 Th 3.12-3.42
N1 0.2500 0.7500 0.0000  4 Ce 2.31
N2 0.7500 0.2500 0.0000  4 Ce 2.31


[4]
This record from Alexandria describes an optimized crystal structure of Ce2TiSbN5. The functional is PBE.

Summary:
- Calculated volume: 13.24 Å³ per atom
- Total energy: -8.1273 eV per atom

a = 6.9665 Å, b = 6.9665 Å, c = 10.4917 Å
α = 90.00°, β = 90.00°, γ = 152.10°
Last column: nearest neighbours and their distance in Å.
Positions (direct):
Ce1 0.1141 0.8859 0.5000  3 N 2.26-2.52
Ce2 0.1485 0.8515 0.0921  6 N 2.44-2.62
Ce3 0.8515 0.1485 0.5921  6 N 2.44-2.62
Ce4 0.8859 0.1141 0.0000  3 N 2.26-2.52
Ti1 0.2270 0.7730 0.8170  1 N 1.94
Ti2 0.7730 0.2270 0.3170  1 N 1.94
Sb1 0.4694 0.5306 0.2665  5 N 2.02-2.26
Sb2 0.5306 0.4694 0.7665  5 N 2.02-2.26
N1 0.0608 0.9392 0.8694  2 Sb 2.04
N2 0.2774 0.7226 0.4527  2 Ti 2.20, 3 Ce 2.26-2.44
N3 0.3136 0.6864 0.1874  2 Ti 2.23, 1 Sb 2.26, 1 Ce 2.45
N4 0.3702 0.6298 0.8098  1 Ti 1.94
N5 0.4901 0.5099 0.5807  1 Sb 2.02
N6 0.5099 0.4901 0.0807  1 Sb 2.02
N7 0.6298 0.3702 0.3098  1 Ti 1.94
N8 0.6864 0.3136 0.6874  2 Ti 2.23, 1 Sb 2.26, 1 Ce 2.45
N9 0.7226 0.2774 0.9527  2 Ti 2.20, 3 Ce 2.26-2.44
N10 0.9392 0.0608 0.3694  2 Sb 2.04


[5]
This record from Alexandria describes an optimized crystal structure of CeTiSb2N. The functional is PBE.

Summary:
- Calculated volume: 21.81 Å³ per atom
- Total energy: -6.8515 eV per atom

a = 3.8711 Å, b = 3.8711 Å, c = 14.5533 Å
α = 90.00°, β = 90.00°, γ = 90.00°
Last column: nearest neighbours and their distance in Å.
Positions (direct):
Ce1 0.2500 0.2500 0.0795  4 N 2.25
Ce2 0.7500 0.7500 0.9205  4 N 2.25
Ti1 0.2500 0.2500 0.5689  6 Sb 2.83-2.86
Ti2 0.7500 0.7500 0.4311  6 Sb 2.83-2.86
Sb1 0.2500 0.2500 0.3747  5 Ti 2.83-2.86
Sb2 0.2500 0.2500 0.7657  1 Ti 2.86
Sb3 0.7500 0.7500 0.2343  1 Ti 2.86
Sb4 0.7500 0.7500 0.6253  5 Ti 2.83-2.86
N1 0.2500 0.7500 0.0000  4 Ce 2.25
N2 0.7500 0.2500 0.0000  4 Ce 2.25


[6]
This record from Alexandria describes an optimized crystal structure of CeUSbN2. The functional is PBE.

Summary:
- Calculated volume: 19.21 Å³ per atom
- Total energy: -8.9254 eV per atom

a = 3.9063 Å, b = 3.9063 Å, c = 12.5863 Å
α = 90.00°, β = 90.00°, γ = 90.00°
Last column: nearest neighbours and their distance in Å.
Positions (direct):
Ce1 0.0000 0.0000 0.0000  4 N 2.35
Ce2 0.5000 0.5000 0.5000  4 N 2.35
U1 0.0000 0.0000 0.3168  4 N 2.20
U2 0.5000 0.5000 0.8168  4 N 2.20
Sb1 0.0000 0.0000 0.6614  4 U 3.38, 4 Ce 3.43, 4 N 3.54
Sb2 0.5000 0.5000 0.1614  4 U 3.38, 4 Ce 3.43, 4 N 3.54
N1 0.0000 0.5000 0.3965  2 U 2.20, 2 Ce 2.35
N2 0.0000 0.5000 0.8965  2 U 2.20, 2 Ce 2.35
N3 0.5000 0.0000 0.3965  2 U 2.20, 2 Ce 2.35
N4 0.5000 0.0000 0.8965  2 U 2.20, 2 Ce 2.35


[7]
This record from Alexandria describes an optimized crystal structure of Ce2USbN2. The functional is PBE.

Summary:
- Calculated volume: 21.10 Å³ per atom
- Total energy: -8.4272 eV per atom

a = 4.3789 Å, b = 4.3789 Å, c = 6.6034 Å
α = 90.00°, β = 90.00°, γ = 90.00°
Last column: nearest neighbours and their distance in Å.
Positions (direct):
Ce1 0.0000 0.0000 0.2385  4 N 2.70
Ce2 0.0000 0.0000 0.7615  4 N 2.70
U1 0.5000 0.5000 0.0000  4 N 2.19
Sb1 0.5000 0.5000 0.5000  2 U 3.30, 8 Ce 3.55
N1 0.0000 0.5000 0.0000  2 U 2.19
N2 0.5000 0.0000 0.0000  2 U 2.19


[8]
This record from Alexandria describes an optimized crystal structure of Ce4Y2Sb3N2. The functional is PBE.

Summary:
- Calculated volume: 25.78 Å³ per atom
- Total energy: -7.0826 eV per atom

a = 13.4180 Å, b = 13.4180 Å, c = 13.4180 Å
α = 159.96°, β = 159.96°, γ = 28.49°
Last column: nearest neighbours and their distance in Å.
Positions (direct):
Ce1 0.0860 0.5860 0.5000  2 N 2.40
Ce2 0.4140 0.9140 0.5000  2 N 2.40
Ce3 0.5860 0.0860 0.5000  2 N 2.40
Ce4 0.9140 0.4140 0.5000  2 N 2.40
Y1 0.1960 0.1960 0.0000  1 N 2.29
Y2 0.8040 0.8040 0.0000  1 N 2.29
Sb1 0.3180 0.3180 0.0000  5 Y 3.17-3.32, 4 Ce 3.42
Sb2 0.5000 0.5000 0.0000  8 Ce 3.23
Sb3 0.6820 0.6820 0.0000  5 Y 3.17-3.32, 4 Ce 3.42
N1 0.1079 0.1079 0.0000  1 Y 2.29, 4 Ce 2.40
N2 0.8921 0.8921 0.0000  1 Y 2.29, 4 Ce 2.40


[9]
This record from Alexandria describes an optimized crystal structure of Ce2YSbN5. The functional is PBE.

Summary:
- Calculated volume: 14.54 Å³ per atom
- Total energy: -7.9658 eV per atom

a = 7.2426 Å, b = 7.2426 Å, c = 10.6702 Å
α = 90.00°, β = 90.00°, γ = 152.11°
Last column: nearest neighbours and their distance in Å.
Positions (direct):
Ce1 0.1137 0.8863 0.5000  3 N 2.35-2.58
Ce2 0.1416 0.8584 0.0847  5 N 2.39-2.61
Ce3 0.8584 0.1416 0.5847  5 N 2.39-2.61
Ce4 0.8863 0.1137 0.0000  3 N 2.35-2.58
Y1 0.2208 0.7792 0.8052  6 N 2.24-2.49
Y2 0.7792 0.2208 0.3052  6 N 2.24-2.49
Sb1 0.4762 0.5238 0.2689  4 N 2.04-2.10
Sb2 0.5238 0.4762 0.7689  4 N 2.04-2.10
N1 0.0538 0.9462 0.8689  2 Sb 2.09
N2 0.2797 0.7203 0.4719  3 Ce 2.35-2.39, 2 Y 2.49
N3 0.3259 0.6741 0.1697  2 Y 2.36, 1 Sb 2.36
N4 0.3799 0.6201 0.8217  1 Sb 2.10, 1 Y 2.24
N5 0.4857 0.5143 0.5842  1 Sb 2.04
N6 0.5143 0.4857 0.0842  1 Sb 2.04
N7 0.6201 0.3799 0.3217  1 Sb 2.10, 1 Y 2.24
N8 0.6741 0.3259 0.6697  2 Y 2.36, 1 Sb 2.36
N9 0.7203 0.2797 0.9719  3 Ce 2.35-2.39, 2 Y 2.49
N10 0.9462 0.0538 0.3689  2 Sb 2.09


[10]
This record from Alexandria describes an optimized crystal structure of CeZrSb2N. The functional is PBE.

Summary:
- Calculated volume: 23.06 Å³ per atom
- Total energy: -7.0842 eV per atom

a = 3.9444 Å, b = 3.9444 Å, c = 14.8235 Å
α = 90.00°, β = 90.00°, γ = 90.00°
Last column: nearest neighbours and their distance in Å.
Positions (direct):
Ce1 0.2500 0.2500 0.0760  4 N 2.27
Ce2 0.7500 0.7500 0.9240  4 N 2.27
Zr1 0.2500 0.2500 0.5700  6 Sb 2.95-3.04
Zr2 0.7500 0.7500 0.4300  6 Sb 2.95-3.04
Sb1 0.2500 0.2500 0.3651  5 Zr 2.95-3.04
Sb2 0.2500 0.2500 0.7740  1 Zr 3.02
Sb3 0.7500 0.7500 0.2260  1 Zr 3.02
Sb4 0.7500 0.7500 0.6349  5 Zr 2.95-3.04
N1 0.2500 0.7500 0.0000  4 Ce 2.27
N2 0.7500 0.2500 0.0000  4 Ce 2.27


[11]
This record from Alexandria describes an optimized crystal structure of CeSc2N. The functional is PBE.

Summary:
- Calculated volume: 19.15 Å³ per atom
- Energy above the lowest structure with this stoichiometry: 0 meV/atom

a = 3.1546 Å, b = 3.1546 Å, c = 26.6630 Å
α = 90.00°, β = 90.00°, γ = 120.00°
Last column: nearest neighbours and their distance in Å.
Positions (direct):
Ce1 0.0000 0.0000 0.0000  6 Ce 3.15, 2 Sc 3.20
Ce2 0.3333 0.6667 0.6667  6 Ce 3.15, 2 Sc 3.20
Ce3 0.6667 0.3333 0.3333  6 Ce 3.15, 2 Sc 3.20
Sc1 0.0000 0.0000 0.1201  3 N 2.20
Sc2 0.0000 0.0000 0.8799  3 N 2.20
Sc3 0.3333 0.6667 0.5466  3 N 2.20
Sc4 0.3333 0.6667 0.7867  3 N 2.20
Sc5 0.6667 0.3333 0.2133  3 N 2.20
Sc6 0.6667 0.3333 0.4534  3 N 2.20
N1 0.0000 0.0000 0.5000  6 Sc 2.20
N2 0.3333 0.6667 0.1667  6 Sc 2.20
N3 0.6667 0.3333 0.8333  6 Sc 2.20


[12]
This record from Alexandria describes an optimized crystal structure of CeSc2N. The functional is PBE.

Summary:
- Calculated volume: 17.57 Å³ per atom
- Energy above the lowest structure with this stoichiometry: 528 meV/atom

a = 2.9301 Å, b = 2.9301 Å, c = 8.1864 Å
α = 90.00°, β = 90.00°, γ = 90.00°
Last column: nearest neighbours and their distance in Å.
Positions (direct):
Ce1 0.0000 0.0000 0.0000  4 Ce 2.93
Sc1 0.5000 0.5000 0.3435  4 N 2.44, 1 Sc 2.56
Sc2 0.5000 0.5000 0.6565  4 N 2.44, 1 Sc 2.56
N1 0.0000 0.0000 0.5000  8 Sc 2.44